# SrLiCa2In4 (GGA-PBE, relaxed)
# formation energy from the elements = -0.362 eV/atom
# E_tot = -0.0985 Ha/atom
data_SrLiCa2In4
_chemical_formula_sum 'Sr3 Li3 Ca6 In12'
_symmetry_space_group_name_H-M 'R -3 m'
_symmetry_Int_Tables_number 166
_symmetry_space_group_name_Hall '-R 3 2"'
_cell_length_a 5.4073
_cell_length_b 5.4073
_cell_length_c 26.9955
_cell_angle_alpha 90.00
_cell_angle_beta 90.00
_cell_angle_gamma 120.00
loop_
_atom_site_label
_atom_site_fract_x
_atom_site_fract_y
_atom_site_fract_z
Sr1 0.0000 0.0000 0.0000
Li1 0.0000 0.0000 0.5000
Ca1 0.0000 0.0000 0.2476
In1 0.0000 0.0000 0.1266
In2 0.0000 0.0000 0.3870